ScZnGa (PBE, optimized geometry); ΔH_f (0 K) = -0.366 eV/atom; space-group type = No. 6
1.0
5.089 0.000 -0.048
0.000 3.120 0.000
2.118 -0.001 6.893
Ga Sc Zn
2 2 2
direct
0.209 0.970 0.610
0.818 0.970 0.943
0.327 0.470 0.924
0.563 0.470 0.294
0.706 0.971 0.603
0.069 0.970 0.275

***

La4Pm8Er (PBE, optimized geometry); ΔH_f (0 K) = 0.176 eV/atom; space-group type = No. 166
1.0
9.620 -3.768 0.864
9.620 3.768 0.864
7.587 0.000 7.066
Pm Er La
8 1 4
direct
0.193 0.751 0.751
0.751 0.751 0.193
0.807 0.249 0.249
0.785 0.785 0.785
0.215 0.215 0.215
0.249 0.249 0.807
0.249 0.807 0.249
0.751 0.193 0.751
0.500 0.500 0.500
0.500 0.500 0.000
0.000 0.500 0.500
0.500 0.000 0.500
0.000 0.000 0.000

***

TaRe2Se (PBE, optimized geometry); formation energy without anion corrections = 0.20 eV per atom; space-group type = No. 123
1.0
-1.037 -1.736 2.431
2.239 -2.155 -0.584
4.010 3.101 3.925
Se Ta Re
1 1 2
direct
0.500 0.500 0.250
0.500 0.500 0.750
0.000 0.000 0.000
0.000 0.000 0.500

***

ScRe3Ag (PBE, optimized geometry); energy above the most stable polymorph in this dataset = 0.000 eV/atom; ΔH_f (0 K) = 2.467 eV/atom; space-group type = No. 221
1.0
4.604 0.000 0.000
0.000 4.604 0.000
0.000 0.000 4.604
Ag Sc Re
1 1 3
direct
0.500 0.500 0.500
0.000 0.000 0.000
0.000 0.000 0.500
0.000 0.500 0.000
0.500 0.000 0.000

***

Ce2MgZr (PBE, optimized geometry); energy above the most stable polymorph in this dataset = 0.000 eV/atom; ΔH_f (0 K) = 0.055 eV/atom; space-group type = No. 123
1.0
-1.820 1.231 -2.251
1.586 -1.630 -2.173
-6.637 -7.876 1.061
Ce Zr Mg
2 1 1
direct
0.000 0.000 0.244
0.000 0.000 0.756
0.500 0.500 0.000
0.500 0.500 0.500

***

Re4W5 (PBE, optimized geometry); ΔH_f (0 K) = 0.115 eV/atom; space-group type = No. 139
1.0
-4.729 4.729 1.577
4.729 -4.729 1.577
4.729 4.729 -1.577
W Re
5 4
direct
0.000 0.000 0.000
0.668 0.668 0.335
0.332 0.332 0.665
0.668 0.332 0.000
0.332 0.668 0.000
0.667 0.000 0.667
0.000 0.333 0.333
0.000 0.667 0.667
0.333 0.000 0.333

***

Number 1: total magnetization 0.000 Bohr magnetons per cell. Number 2: total magnetization 0.000 Bohr magnetons per cell. Number 3: total magnetization 0.000 Bohr magnetons per cell. Number 4: total magnetization 0.000 Bohr magnetons per cell. Number 5: total magnetization 0.783 Bohr magnetons per cell. Number 6: total magnetization 0.000 Bohr magnetons per cell.